Density functional theory data (PBE) for Sm2DyTm6 after structural relaxation.

- DFT total energy (eV per atom) = -4.43
- ρ (Mg/m³) = 8.69
- formation energy from the elements (meV per atom) = 109

a = 6.490 Å, b = 9.483 Å, c = 9.483 Å
α = 95.86°, β = 80.93°, γ = 80.93°
Fractional coordinates of all 18 atoms:
Tm (0.497, 0.348, 0.724)
Tm (0.231, 0.462, 0.059)
Tm (0.685, 0.221, 0.044)
Tm (0.503, 0.652, 0.276)
Tm (0.003, 0.276, 0.652)
Dy (0.750, 0.881, 0.119)
Tm (0.269, 0.941, 0.538)
Tm (0.769, 0.538, 0.941)
Sm (0.873, 0.383, 0.332)
Sm (0.127, 0.617, 0.668)
Tm (0.815, 0.956, 0.779)
Tm (0.997, 0.724, 0.348)
Tm (0.315, 0.779, 0.956)
Dy (0.250, 0.119, 0.881)
Tm (0.185, 0.044, 0.221)
Tm (0.731, 0.059, 0.462)
Sm (0.627, 0.668, 0.617)
Sm (0.373, 0.332, 0.383)